No. 1
The following is a GGA-PBEsol calculation of a relaxed structure of SrCaBi2, from Alexandria via LeMat-Bulk.

As for the total energy: -3.75 eV/atom. As for the crystal system: tetragonal. Its energy above the most stable polymorph in this dataset is 0.1236 eV/atom.

Geometry as CIF:
```
data_SrCaBi2
_chemical_formula_sum 'Sr4 Ca4 Bi8'
_symmetry_space_group_name_H-M 'I -4 2 d'
_symmetry_Int_Tables_number 122
_symmetry_space_group_name_Hall 'I -4 2bw'
_cell_length_a 8.776
_cell_length_b 8.776
_cell_length_c 7.039
_cell_angle_alpha 90.00
_cell_angle_beta 90.00
_cell_angle_gamma 90.00
loop_
_atom_site_label
_atom_site_type_symbol
_atom_site_fract_x
_atom_site_fract_y
_atom_site_fract_z
Sr1 Sr 0.000 0.000 0.000
Ca1 Ca 0.000 0.000 0.500
Bi1 Bi 0.235 0.250 0.625
```

No. 2
The following is a GGA-PBEsol calculation of a relaxed structure of SrCaBi2, from Alexandria via LeMat-Bulk.

As for the total energy: -3.87 eV/atom. As for the crystal system: cubic. Its energy above the most stable polymorph in this dataset is 0.0000 eV/atom.

Geometry as CIF:
```
data_SrCaBi2
_chemical_formula_sum 'Sr4 Ca4 Bi8'
_symmetry_space_group_name_H-M 'F m -3 m'
_symmetry_Int_Tables_number 225
_symmetry_space_group_name_Hall '-F 4 2 3'
_cell_length_a 8.011
_cell_length_b 8.011
_cell_length_c 8.011
_cell_angle_alpha 90.00
_cell_angle_beta 90.00
_cell_angle_gamma 90.00
loop_
_atom_site_label
_atom_site_type_symbol
_atom_site_fract_x
_atom_site_fract_y
_atom_site_fract_z
Sr1 Sr 0.000 0.000 0.000
Ca1 Ca 0.000 0.000 0.500
Bi1 Bi 0.250 0.250 0.250
```

No. 3
The following is a GGA-PBEsol calculation of a relaxed structure of SrCaTa2Bi, from Alexandria via LeMat-Bulk.

As for the total energy: -4.99 eV/atom. As for the crystal system: tetragonal.

Geometry as CIF:
```
data_SrCaTa2Bi
_chemical_formula_sum 'Sr1 Ca1 Ta2 Bi1'
_symmetry_space_group_name_H-M 'P 4/m m m'
_symmetry_Int_Tables_number 123
_symmetry_space_group_name_Hall '-P 4 2'
_cell_length_a 4.974
_cell_length_b 4.974
_cell_length_c 5.668
_cell_angle_alpha 90.00
_cell_angle_beta 90.00
_cell_angle_gamma 90.00
loop_
_atom_site_label
_atom_site_type_symbol
_atom_site_fract_x
_atom_site_fract_y
_atom_site_fract_z
Sr1 Sr 0.000 0.000 0.000
Ca1 Ca 0.500 0.500 0.500
Ta1 Ta 0.000 0.500 0.500
Bi1 Bi 0.500 0.500 0.000
```

No. 4
The following is a GGA-PBEsol calculation of a relaxed structure of CaTaBi2, from Alexandria via LeMat-Bulk.

As for the total energy: -5.55 eV/atom. As for the crystal system: tetragonal.

Geometry as CIF:
```
data_CaTaBi2
_chemical_formula_sum 'Ca4 Ta4 Bi8'
_symmetry_space_group_name_H-M 'I -4 2 d'
_symmetry_Int_Tables_number 122
_symmetry_space_group_name_Hall 'I -4 2bw'
_cell_length_a 8.101
_cell_length_b 8.101
_cell_length_c 6.788
_cell_angle_alpha 90.00
_cell_angle_beta 90.00
_cell_angle_gamma 90.00
loop_
_atom_site_label
_atom_site_type_symbol
_atom_site_fract_x
_atom_site_fract_y
_atom_site_fract_z
Ca1 Ca 0.000 0.000 0.000
Ta1 Ta 0.000 0.000 0.500
Bi1 Bi 0.220 0.250 0.625
```

No. 5
The following is a GGA-PBEsol calculation of a relaxed structure of CaZrTa2Bi, from Alexandria via LeMat-Bulk.

As for the total energy: -6.44 eV/atom. As for the crystal system: tetragonal.

Geometry as CIF:
```
data_CaZrTa2Bi
_chemical_formula_sum 'Ca1 Zr1 Ta2 Bi1'
_symmetry_space_group_name_H-M 'P 4/m m m'
_symmetry_Int_Tables_number 123
_symmetry_space_group_name_Hall '-P 4 2'
_cell_length_a 5.161
_cell_length_b 5.161
_cell_length_c 5.349
_cell_angle_alpha 90.00
_cell_angle_beta 90.00
_cell_angle_gamma 90.00
loop_
_atom_site_label
_atom_site_type_symbol
_atom_site_fract_x
_atom_site_fract_y
_atom_site_fract_z
Ca1 Ca 0.000 0.000 0.000
Zr1 Zr 0.500 0.500 0.000
Ta1 Ta 0.000 0.500 0.500
Bi1 Bi 0.000 0.000 0.500
```

No. 6
The following is a GGA-PBEsol calculation of a relaxed structure of CaZrTc2Bi, from Alexandria via LeMat-Bulk.

As for the total energy: -6.34 eV/atom. As for the crystal system: tetragonal.

Geometry as CIF:
```
data_CaZrTc2Bi
_chemical_formula_sum 'Ca1 Zr1 Tc2 Bi1'
_symmetry_space_group_name_H-M 'P 4/m m m'
_symmetry_Int_Tables_number 123
_symmetry_space_group_name_Hall '-P 4 2'
_cell_length_a 4.693
_cell_length_b 4.693
_cell_length_c 5.438
_cell_angle_alpha 90.00
_cell_angle_beta 90.00
_cell_angle_gamma 90.00
loop_
_atom_site_label
_atom_site_type_symbol
_atom_site_fract_x
_atom_site_fract_y
_atom_site_fract_z
Ca1 Ca 0.000 0.000 0.000
Zr1 Zr 0.000 0.000 0.500
Tc1 Tc 0.000 0.500 0.500
Bi1 Bi 0.500 0.500 0.000
```

No. 7
The following is a GGA-PBEsol calculation of a relaxed structure of Ca2Bi2Te, from Alexandria via LeMat-Bulk.

As for the total energy: -3.79 eV/atom. As for the crystal system: tetragonal. The energy relative to the elements, uncorrected comes out at -517 meV/atom.

Geometry as CIF:
```
data_Ca2Bi2Te
_chemical_formula_sum 'Ca4 Bi4 Te2'
_symmetry_space_group_name_H-M 'I 4/m m m'
_symmetry_Int_Tables_number 139
_symmetry_space_group_name_Hall '-I 4 2'
_cell_length_a 6.128
_cell_length_b 6.128
_cell_length_c 9.197
_cell_angle_alpha 90.00
_cell_angle_beta 90.00
_cell_angle_gamma 90.00
loop_
_atom_site_label
_atom_site_type_symbol
_atom_site_fract_x
_atom_site_fract_y
_atom_site_fract_z
Ca1 Ca 0.000 0.500 0.250
Bi1 Bi 0.000 0.000 0.164
Te1 Te 0.000 0.000 0.500
```

No. 8
The following is a GGA-PBEsol calculation of a relaxed structure of CaBiTe3, from Alexandria via LeMat-Bulk.

As for the total energy: -3.23 eV/atom. As for the crystal system: cubic. The energy relative to the elements, uncorrected comes out at 168 meV/atom.

Geometry as CIF:
```
data_CaBiTe3
_chemical_formula_sum 'Ca1 Bi1 Te3'
_symmetry_space_group_name_H-M 'P m -3 m'
_symmetry_Int_Tables_number 221
_symmetry_space_group_name_Hall '-P 4 2 3'
_cell_length_a 5.653
_cell_length_b 5.653
_cell_length_c 5.653
_cell_angle_alpha 90.00
_cell_angle_beta 90.00
_cell_angle_gamma 90.00
loop_
_atom_site_label
_atom_site_type_symbol
_atom_site_fract_x
_atom_site_fract_y
_atom_site_fract_z
Ca1 Ca 0.000 0.000 0.000
Bi1 Bi 0.500 0.500 0.500
Te1 Te 0.000 0.000 0.500
```

No. 9
The following is a GGA-PBEsol calculation of a relaxed structure of CaBiTe2, from Alexandria via LeMat-Bulk.

As for the total energy: -3.67 eV/atom. As for the crystal system: trigonal. The energy relative to the elements, uncorrected comes out at -302 meV/atom.

Geometry as CIF:
```
data_CaBiTe2
_chemical_formula_sum 'Ca3 Bi3 Te6'
_symmetry_space_group_name_H-M 'R -3 m'
_symmetry_Int_Tables_number 166
_symmetry_space_group_name_Hall '-R 3 2"'
_cell_length_a 4.4351
_cell_length_b 4.4351
_cell_length_c 28.5890
_cell_angle_alpha 90.00
_cell_angle_beta 90.00
_cell_angle_gamma 120.00
loop_
_atom_site_label
_atom_site_type_symbol
_atom_site_fract_x
_atom_site_fract_y
_atom_site_fract_z
Ca1 Ca 0.0000 0.0000 0.0000
Bi1 Bi 0.0000 0.0000 0.5000
Te1 Te 0.0000 0.0000 0.1052
```

No. 10
The following is a GGA-PBEsol calculation of a relaxed structure of Ca3BiTe, from Alexandria via LeMat-Bulk.

As for the total energy: -3.36 eV/atom. As for the crystal system: cubic. The energy relative to the elements, uncorrected comes out at -522 meV/atom.

Geometry as CIF:
```
data_Ca3BiTe
_chemical_formula_sum 'Ca3 Bi1 Te1'
_symmetry_space_group_name_H-M 'P m -3 m'
_symmetry_Int_Tables_number 221
_symmetry_space_group_name_Hall '-P 4 2 3'
_cell_length_a 5.867
_cell_length_b 5.867
_cell_length_c 5.867
_cell_angle_alpha 90.00
_cell_angle_beta 90.00
_cell_angle_gamma 90.00
loop_
_atom_site_label
_atom_site_type_symbol
_atom_site_fract_x
_atom_site_fract_y
_atom_site_fract_z
Ca1 Ca 0.000 0.000 0.500
Bi1 Bi 0.000 0.000 0.000
Te1 Te 0.500 0.500 0.500
```

No. 11
The following is a GGA-PBEsol calculation of a relaxed structure of Ca2TlBi, from Alexandria via LeMat-Bulk.

As for the total energy: -3.41 eV/atom. As for the crystal system: cubic.

Geometry as CIF:
```
data_Ca2TlBi
_chemical_formula_sum 'Ca8 Tl4 Bi4'
_symmetry_space_group_name_H-M 'F m -3 m'
_symmetry_Int_Tables_number 225
_symmetry_space_group_name_Hall '-F 4 2 3'
_cell_length_a 7.747
_cell_length_b 7.747
_cell_length_c 7.747
_cell_angle_alpha 90.00
_cell_angle_beta 90.00
_cell_angle_gamma 90.00
loop_
_atom_site_label
_atom_site_type_symbol
_atom_site_fract_x
_atom_site_fract_y
_atom_site_fract_z
Ca1 Ca 0.250 0.250 0.250
Tl1 Tl 0.000 0.000 0.000
Bi1 Bi 0.000 0.000 0.500
```

No. 12
The following is a GGA-PBEsol calculation of a relaxed structure of CaYBi2, from Alexandria via LeMat-Bulk.

As for the total energy: -5.07 eV/atom. As for the crystal system: cubic.

Geometry as CIF:
```
data_CaYBi2
_chemical_formula_sum 'Ca4 Y4 Bi8'
_symmetry_space_group_name_H-M 'F m -3 m'
_symmetry_Int_Tables_number 225
_symmetry_space_group_name_Hall '-F 4 2 3'
_cell_length_a 7.754
_cell_length_b 7.754
_cell_length_c 7.754
_cell_angle_alpha 90.00
_cell_angle_beta 90.00
_cell_angle_gamma 90.00
loop_
_atom_site_label
_atom_site_type_symbol
_atom_site_fract_x
_atom_site_fract_y
_atom_site_fract_z
Ca1 Ca 0.000 0.000 0.000
Y1 Y 0.000 0.000 0.500
Bi1 Bi 0.250 0.250 0.250
```

No. 13
The following is a GGA-PBEsol calculation of a relaxed structure of CaY3Bi, from Alexandria via LeMat-Bulk.

As for the total energy: -5.25 eV/atom. As for the crystal system: cubic. Its energy above the most stable polymorph in this dataset is 0.0000 eV/atom.

Geometry as CIF:
```
data_CaY3Bi
_chemical_formula_sum 'Ca1 Y3 Bi1'
_symmetry_space_group_name_H-M 'P m -3 m'
_symmetry_Int_Tables_number 221
_symmetry_space_group_name_Hall '-P 4 2 3'
_cell_length_a 5.817
_cell_length_b 5.817
_cell_length_c 5.817
_cell_angle_alpha 90.00
_cell_angle_beta 90.00
_cell_angle_gamma 90.00
loop_
_atom_site_label
_atom_site_type_symbol
_atom_site_fract_x
_atom_site_fract_y
_atom_site_fract_z
Ca1 Ca 0.000 0.000 0.000
Y1 Y 0.000 0.500 0.500
Bi1 Bi 0.500 0.500 0.500
```

No. 14
The following is a GGA-PBEsol calculation of a relaxed structure of CaY3Bi, from Alexandria via LeMat-Bulk.

As for the total energy: -4.61 eV/atom. As for the crystal system: cubic. Its energy above the most stable polymorph in this dataset is 0.6425 eV/atom.

Geometry as CIF:
```
data_CaY3Bi
_chemical_formula_sum 'Ca1 Y3 Bi1'
_symmetry_space_group_name_H-M 'P m -3 m'
_symmetry_Int_Tables_number 221
_symmetry_space_group_name_Hall '-P 4 2 3'
_cell_length_a 5.438
_cell_length_b 5.438
_cell_length_c 5.438
_cell_angle_alpha 90.00
_cell_angle_beta 90.00
_cell_angle_gamma 90.00
loop_
_atom_site_label
_atom_site_type_symbol
_atom_site_fract_x
_atom_site_fract_y
_atom_site_fract_z
Ca1 Ca 0.000 0.000 0.000
Y1 Y 0.000 0.000 0.500
Bi1 Bi 0.500 0.500 0.500
```

No. 15
The following is a GGA-PBEsol calculation of a relaxed structure of CaZn2Bi2, from Alexandria via LeMat-Bulk.

As for the total energy: -2.97 eV/atom. As for the crystal system: tetragonal.

Geometry as CIF:
```
data_CaZn2Bi2
_chemical_formula_sum 'Ca2 Zn4 Bi4'
_symmetry_space_group_name_H-M 'I 4/m m m'
_symmetry_Int_Tables_number 139
_symmetry_space_group_name_Hall '-I 4 2'
_cell_length_a 4.170
_cell_length_b 4.170
_cell_length_c 14.771
_cell_angle_alpha 90.00
_cell_angle_beta 90.00
_cell_angle_gamma 90.00
loop_
_atom_site_label
_atom_site_type_symbol
_atom_site_fract_x
_atom_site_fract_y
_atom_site_fract_z
Ca1 Ca 0.000 0.000 0.000
Zn1 Zn 0.000 0.500 0.250
Bi1 Bi 0.000 0.000 0.380
```

No. 16
The following is a GGA-PBEsol calculation of a relaxed structure of Ca9Zn4Bi9, from Alexandria via LeMat-Bulk.

As for the total energy: -3.60 eV/atom. As for the crystal system: orthorhombic.

Geometry as CIF:
```
data_Ca9Zn4Bi9
_chemical_formula_sum 'Ca18 Zn8 Bi18'
_symmetry_space_group_name_H-M 'P b a m'
_symmetry_Int_Tables_number 55
_symmetry_space_group_name_Hall '-P 2 2ab'
_cell_length_a 12.507
_cell_length_b 21.826
_cell_length_c 4.620
_cell_angle_alpha 90.00
_cell_angle_beta 90.00
_cell_angle_gamma 90.00
loop_
_atom_site_label
_atom_site_type_symbol
_atom_site_fract_x
_atom_site_fract_y
_atom_site_fract_z
Ca1 Ca 0.000 0.000 0.000
Ca2 Ca 0.076 0.412 0.500
Ca3 Ca 0.128 0.863 0.500
Ca4 Ca 0.131 0.234 0.500
Ca5 Ca 0.200 0.602 0.000
Zn1 Zn 0.109 0.764 0.000
Zn2 Zn 0.232 0.454 0.000
Bi1 Bi 0.000 0.500 0.000
Bi2 Bi 0.050 0.144 0.000
Bi3 Bi 0.109 0.694 0.500
Bi4 Bi 0.190 0.011 0.500
Bi5 Bi 0.193 0.330 0.000
```

No. 17
The following is a GGA-PBEsol calculation of a relaxed structure of CaZrBi2, from Alexandria via LeMat-Bulk.

As for the total energy: -5.31 eV/atom. As for the crystal system: cubic.

Geometry as CIF:
```
data_CaZrBi2
_chemical_formula_sum 'Ca4 Zr4 Bi8'
_symmetry_space_group_name_H-M 'F m -3 m'
_symmetry_Int_Tables_number 225
_symmetry_space_group_name_Hall '-F 4 2 3'
_cell_length_a 7.500
_cell_length_b 7.500
_cell_length_c 7.500
_cell_angle_alpha 90.00
_cell_angle_beta 90.00
_cell_angle_gamma 90.00
loop_
_atom_site_label
_atom_site_type_symbol
_atom_site_fract_x
_atom_site_fract_y
_atom_site_fract_z
Ca1 Ca 0.000 0.000 0.000
Zr1 Zr 0.000 0.000 0.500
Bi1 Bi 0.250 0.250 0.250
```

No. 18
The following is a GGA-PBEsol calculation of a relaxed structure of Cd3Bi, from Alexandria via LeMat-Bulk.

As for the total energy: -1.90 eV/atom. As for the crystal system: tetragonal.

Geometry as CIF:
```
data_Cd3Bi
_chemical_formula_sum 'Cd6 Bi2'
_symmetry_space_group_name_H-M 'I 4/m m m'
_symmetry_Int_Tables_number 139
_symmetry_space_group_name_Hall '-I 4 2'
_cell_length_a 4.508
_cell_length_b 4.508
_cell_length_c 9.426
_cell_angle_alpha 90.00
_cell_angle_beta 90.00
_cell_angle_gamma 90.00
loop_
_atom_site_label
_atom_site_type_symbol
_atom_site_fract_x
_atom_site_fract_y
_atom_site_fract_z
Cd1 Cd 0.000 0.000 0.000
Cd2 Cd 0.000 0.500 0.250
Bi1 Bi 0.000 0.000 0.500
```

No. 19
The following is a GGA-PBEsol calculation of a relaxed structure of CdBi3Cl, from Alexandria via LeMat-Bulk.

As for the total energy: -2.67 eV/atom. As for the crystal system: cubic. The energy relative to the elements, uncorrected comes out at 546 meV/atom.

Geometry as CIF:
```
data_CdBi3Cl
_chemical_formula_sum 'Cd1 Bi3 Cl1'
_symmetry_space_group_name_H-M 'P m -3 m'
_symmetry_Int_Tables_number 221
_symmetry_space_group_name_Hall '-P 4 2 3'
_cell_length_a 5.585
_cell_length_b 5.585
_cell_length_c 5.585
_cell_angle_alpha 90.00
_cell_angle_beta 90.00
_cell_angle_gamma 90.00
loop_
_atom_site_label
_atom_site_type_symbol
_atom_site_fract_x
_atom_site_fract_y
_atom_site_fract_z
Cd1 Cd 0.000 0.000 0.000
Bi1 Bi 0.000 0.000 0.500
Cl1 Cl 0.500 0.500 0.500
```

No. 20
The following is a GGA-PBEsol calculation of a relaxed structure of CdBi8Cl10O8, from Alexandria via LeMat-Bulk.

As for the total energy: -4.86 eV/atom. As for the crystal system: orthorhombic. The energy relative to the elements, uncorrected comes out at -1244 meV/atom.

Geometry as CIF:
```
data_CdBi8Cl10O8
_chemical_formula_sum 'Cd2 Bi16 Cl20 O16'
_symmetry_space_group_name_H-M 'C m m m'
_symmetry_Int_Tables_number 65
_symmetry_space_group_name_Hall '-C 2 2'
_cell_length_a 5.455
_cell_length_b 35.427
_cell_length_c 5.455
_cell_angle_alpha 90.00
_cell_angle_beta 90.00
_cell_angle_gamma 90.00
loop_
_atom_site_label
_atom_site_type_symbol
_atom_site_fract_x
_atom_site_fract_y
_atom_site_fract_z
Cd1 Cd 0.000 0.000 0.000
Bi1 Bi 0.000 0.110 0.500
Bi2 Bi 0.000 0.182 0.000
Bi3 Bi 0.000 0.319 0.500
Bi4 Bi 0.000 0.390 0.000
Cl1 Cl 0.000 0.000 0.500
Cl2 Cl 0.000 0.073 0.000
Cl3 Cl 0.000 0.219 0.500
Cl4 Cl 0.000 0.281 0.000
Cl5 Cl 0.000 0.426 0.500
Cl6 Cl 0.000 0.500 0.000
O1 O 0.248 0.145 0.248
```